Compound: La6Pr3Sc
Source: Alexandria
Functional: PBE
Structure: optimized geometry

a = 11.959 Å, b = 3.637 Å, c = 17.304 Å
α = 90.00°, β = 108.96°, γ = 90.00°
Atoms (fractional coordinates):
La 0.095 0.250 0.458
La 0.131 0.250 0.087
La 0.139 0.250 0.881
La 0.343 0.750 0.607
La 0.364 0.750 0.818
La 0.398 0.750 0.241
La 0.602 0.250 0.759
La 0.636 0.250 0.182
La 0.657 0.250 0.393
La 0.861 0.750 0.119
La 0.869 0.750 0.913
La 0.905 0.750 0.542
Pr 0.125 0.750 0.284
Pr 0.374 0.250 0.424
Pr 0.385 0.750 0.032
Pr 0.615 0.250 0.968
Pr 0.626 0.750 0.576
Pr 0.875 0.250 0.716
Sc 0.141 0.250 0.675
Sc 0.859 0.750 0.325

Calculated values
- formation energy from the elements (kJ per mole of atoms) = 6
- DOS(E_F) (states/eV/atom) = 1.64
- total magnetization (μB/cell) = 0.0